The following is a DFT calculation (PBE) of a relaxed Pm4Nd2SmEr2 crystal.

Lattice parameters (Å, degrees): 15.390 5.129 8.080 90.00 108.57 90.00
Space group C2/m (No. 12)
One atom of each set of equivalent atoms:
Pm 0.055 0.000 0.331 x4
Pm 0.222 0.500 0.330 x4
Nd 0.112 0.500 0.668 x4
Sm 0.000 0.500 0.000 x2
Er 0.167 0.000 0.000 x4

## Properties
Electronic total energy ... -84.4 eV for the cell shown